[1]
Sc2ReSnC | the Alexandria database | PBE | optimized geometry; SG = P4/mmm, No. 123; energy of formation from the pure elements = -0.460 eV per atom
1.0
4.577 0.000 0.000
0.000 4.577 0.000
0.000 0.000 4.037
Sc Re C Sn
2 1 1 1
Direct
0.000 0.500 0.000
0.500 0.000 0.000
0.000 0.000 0.500
0.000 0.000 0.000
0.500 0.500 0.500

=====

[2]
ScReTc2C | the Alexandria database | PBE | optimized geometry; SG = P4/mmm, No. 123; energy of formation from the pure elements = -0.025 eV per atom
1.0
4.166 0.000 0.000
0.000 4.166 0.000
0.000 0.000 4.116
Sc Re C Tc
1 1 1 2
Direct
0.500 0.500 0.500
0.000 0.000 0.500
0.000 0.000 0.000
0.000 0.500 0.000
0.500 0.000 0.000

=====

[3]
ScTi2ReC | the Alexandria database | PBE | optimized geometry; SG = P4/mmm, No. 123; energy of formation from the pure elements = -0.261 eV per atom
1.0
-0.572 -0.921 -4.181
4.268 0.207 -0.630
0.316 -3.978 0.833
Sc Re C Ti
1 1 1 2
Direct
0.500 0.500 0.500
0.000 0.000 0.500
0.000 0.000 0.000
0.000 0.500 0.000
0.500 0.000 0.000

=====

[4]
Sc2TlReC | the Alexandria database | PBE | optimized geometry; SG = P4/mmm, No. 123; energy of formation from the pure elements = -0.346 eV per atom
1.0
4.635 0.000 0.000
0.000 4.635 0.000
0.000 0.000 4.012
Sc Re Tl C
2 1 1 1
Direct
0.000 0.500 0.000
0.500 0.000 0.000
0.000 0.000 0.500
0.500 0.500 0.500
0.000 0.000 0.000

=====

[5]
Sc2UReC4 | the Alexandria database | PBE | optimized geometry; SG = Cmcm, No. 63; energy of formation from the pure elements = -0.089 eV per atom
1.0
-0.830 3.005 1.070
-4.863 -3.444 0.824
3.702 -2.716 10.499
Sc U Re C
4 2 2 8
Direct
0.373 0.745 0.538
0.627 0.255 0.038
0.627 0.255 0.462
0.373 0.745 0.962
0.104 0.208 0.750
0.896 0.792 0.250
0.843 0.685 0.750
0.157 0.315 0.250
0.267 0.535 0.126
0.733 0.465 0.626
0.733 0.465 0.874
0.267 0.535 0.374
0.000 0.000 0.500
0.000 0.000 0.000
0.448 0.896 0.750
0.552 0.104 0.250

=====

[6]
Sc2ZnReC | the Alexandria database | PBE | optimized geometry; SG = P4/mmm, No. 123; energy of formation from the pure elements = -0.355 eV per atom
1.0
-4.197 1.688 0.221
-0.317 -0.199 -4.514
-1.467 -3.682 0.265
Sc Re Zn C
2 1 1 1
Direct
0.000 0.500 0.000
0.500 0.000 0.000
0.000 0.000 0.500
0.500 0.500 0.500
0.000 0.000 0.000

=====

[7]
Re3CSe | the Alexandria database | PBE | optimized geometry; SG = Pm-3m, No. 221; energy above the most stable polymorph in this dataset = 0.0 kJ/mol of atoms; E_form (uncorrected) = 0.83 eV/atom
1.0
4.144 0.000 0.000
0.000 4.144 0.000
0.000 0.000 4.144
Re C Se
3 1 1
Direct
0.000 0.500 0.000
0.000 0.000 0.500
0.500 0.000 0.000
0.000 0.000 0.000
0.500 0.500 0.500

=====

[8]
ReC3Se | the Alexandria database | PBE | optimized geometry; SG = Pm-3m, No. 221; energy above the most stable polymorph in this dataset = 102.6 kJ/mol of atoms; E_form (uncorrected) = 3.14 eV/atom
1.0
3.809 0.000 0.000
0.000 3.809 0.000
0.000 0.000 3.809
Re C Se
1 3 1
Direct
0.500 0.500 0.500
0.000 0.500 0.000
0.000 0.000 0.500
0.500 0.000 0.000
0.000 0.000 0.000

=====

> Which formula does entry 4 have?

Sc2TlReC